[1]
Material: Na2BiPCO7
Method: DFT, meta-GGA SCAN
State: PBEsol geometry

Results
V in Å³/f.u.: 170.9
Raw total energy in eV/atom: -14.579
Space-group type: P2_1/m

Lattice parameters (Å, degrees): 5.277 6.926 9.354 90.00 90.69 90.00
Fractional coordinates of all 24 atoms:
1 Na 0.744 0.488 0.791
2 O 0.447 0.750 0.360
3 O 0.128 0.071 0.660
4 O 0.757 0.750 0.568
5 C 0.755 0.250 0.096
6 P 0.729 0.750 0.400
7 P 0.271 0.250 0.600
8 O 0.554 0.250 0.179
9 Bi 0.202 0.750 0.610
10 O 0.259 0.750 0.037
11 Bi 0.798 0.250 0.390
12 O 0.026 0.750 0.833
13 O 0.128 0.429 0.660
14 O 0.243 0.250 0.432
15 O 0.872 0.571 0.340
16 Na 0.744 0.012 0.791
17 O 0.974 0.250 0.167
18 O 0.553 0.250 0.640
19 O 0.872 0.929 0.340
20 C 0.245 0.750 0.904
21 O 0.446 0.750 0.821
22 O 0.741 0.250 0.963
23 Na 0.256 0.988 0.209
24 Na 0.256 0.512 0.209


[2]
Material: CrSi3Te
Method: DFT, meta-GGA SCAN
State: PBEsol geometry

Results
V in Å³/f.u.: 132.1
Raw total energy in eV/atom: -15.434
Space-group type: Pm-3m

Lattice parameters (Å, degrees): 5.093 5.093 5.093 90.00 90.00 90.00
Fractional coordinates of all 5 atoms:
1 Cr 0.500 0.500 0.500
2 Te 0.000 0.000 0.000
3 Si 0.500 0.000 0.000
4 Si 0.000 0.500 0.000
5 Si 0.000 0.000 0.500


[3]
Material: LiCuRu2
Method: DFT, meta-GGA SCAN
State: PBEsol geometry

Results
V in Å³/f.u.: 50.9
Energy of formation in meV per atom: 141
Space-group type: Pmm2

Lattice parameters (Å, degrees): 2.654 3.694 5.197 90.00 90.00 90.00
Fractional coordinates of all 4 atoms:
1 Ru 0.000 0.000 0.022
2 Ru 0.500 0.500 0.230
3 Cu 0.000 0.000 0.517
4 Li 0.500 0.500 0.731


Total magnetic moment readings, ordered: 0.00 4.58 0.00 μB/f.u.